Entry 1:
## La2TaSb2 (PBE-GGA)

Data for crystalline La2TaSb2 at its relaxed geometry.

Cell: 7.629 7.629 4.786 Å, 90.00 90.00 90.00°
Atoms (fractional coordinates):
La: 0.171 0.329 0.000
La: 0.329 0.829 0.000
La: 0.671 0.171 0.000
La: 0.829 0.671 0.000
Ta: 0.000 0.000 0.500
Ta: 0.500 0.500 0.500
Sb: 0.144 0.644 0.500
Sb: 0.356 0.144 0.500
Sb: 0.644 0.856 0.500
Sb: 0.856 0.356 0.500

Results
SG	No. 127

Entry 2:
## LaTa3Sb (PBE-GGA)

Data for crystalline LaTa3Sb at its relaxed geometry.

Cell: 5.133 5.133 5.133 Å, 90.00 90.00 90.00°
Atoms (fractional coordinates):
La: 0.000 0.000 0.000
Ta: 0.000 0.500 0.500
Ta: 0.500 0.000 0.500
Ta: 0.500 0.500 0.000
Sb: 0.500 0.500 0.500

Results
E above lowest polymorph	0.0	meV per atom
SG	No. 221

Entry 3:
## La2TaSb (PBE-GGA)

Data for crystalline La2TaSb at its relaxed geometry.

Cell: 4.287 4.670 6.310 Å, 90.00 109.75 90.00°
Atoms (fractional coordinates):
La: 0.000 0.000 0.000
La: 0.290 0.500 0.582
Ta: 0.719 0.000 0.441
Sb: 0.579 0.500 0.157

Results
SG	No. 6

Number 1: formation energy without anion corrections -2.5 eV per formula unit. Number 2: formation energy without anion corrections 6.5 eV per formula unit. Number 3: formation energy without anion corrections -0.7 eV per formula unit.